BeReNiGe | PBE | relaxed

Output
crystal system = cubic
symmetry = No. 216
final energy = -24.760 eV per cell

```
4
Lattice="0.000 2.902 2.902 2.902 0.000 2.902 2.902 2.902 0.000" Properties=species:S:1:pos:R:3 pbc="T T T"
Be 0.000 0.000 0.000
Re 4.353 4.353 4.353
Ni 2.902 2.902 2.902
Ge 1.451 1.451 1.451
```



ScBeNiGe | PBE | relaxed

Output
crystal system = cubic
distance to the lowest polymorph of the same formula = 0.0 meV/atom
symmetry = No. 216

```
4
Lattice="0.000 2.994 2.994 2.994 0.000 2.994 2.994 2.994 0.000" Properties=species:S:1:pos:R:3 pbc="T T T"
Sc 0.000 0.000 0.000
Be 1.497 1.497 1.497
Ni 4.491 4.491 4.491
Ge 2.994 2.994 2.994
```



ScBeNiGe | PBE | relaxed

Output
crystal system = cubic
distance to the lowest polymorph of the same formula = 60.6 meV/atom
symmetry = No. 216

```
4
Lattice="0.000 3.025 3.025 3.025 0.000 3.025 3.025 3.025 0.000" Properties=species:S:1:pos:R:3 pbc="T T T"
Sc 0.000 0.000 0.000
Be 3.025 3.025 3.025
Ni 1.513 1.513 1.513
Ge 4.538 4.538 4.538
```



ScBeNiGe | PBE | relaxed

Output
crystal system = cubic
distance to the lowest polymorph of the same formula = 46.2 meV/atom
symmetry = No. 216

```
4
Lattice="0.000 3.016 3.016 3.016 0.000 3.016 3.016 3.016 0.000" Properties=species:S:1:pos:R:3 pbc="T T T"
Sc 0.000 0.000 0.000
Be 4.524 4.524 4.524
Ni 3.016 3.016 3.016
Ge 1.508 1.508 1.508
```



TaBeNiGe | PBE | relaxed

Output
crystal system = cubic
distance to the lowest polymorph of the same formula = 78.0 meV/atom
symmetry = No. 216

```
4
Lattice="0.000 2.976 2.976 2.976 0.000 2.976 2.976 2.976 0.000" Properties=species:S:1:pos:R:3 pbc="T T T"
Ta 0.000 0.000 0.000
Be 1.488 1.488 1.488
Ni 4.465 4.465 4.465
Ge 2.976 2.976 2.976
```



TaBeNiGe | PBE | relaxed

Output
crystal system = cubic
distance to the lowest polymorph of the same formula = 0.0 meV/atom
symmetry = No. 216

```
4
Lattice="0.000 2.980 2.980 2.980 0.000 2.980 2.980 2.980 0.000" Properties=species:S:1:pos:R:3 pbc="T T T"
Ta 0.000 0.000 0.000
Be 4.469 4.469 4.469
Ni 2.980 2.980 2.980
Ge 1.490 1.490 1.490
```



BeZnNiGe | PBE | relaxed

Output
crystal system = cubic
distance to the lowest polymorph of the same formula = 0.0 meV/atom
symmetry = No. 216

```
4
Lattice="0.000 2.922 2.922 2.922 0.000 2.922 2.922 2.922 0.000" Properties=species:S:1:pos:R:3 pbc="T T T"
Be 0.000 0.000 0.000
Zn 4.383 4.383 4.383
Ni 2.922 2.922 2.922
Ge 1.461 1.461 1.461
```



ZrBeNiGe | PBE | relaxed

Output
crystal system = cubic
symmetry = No. 216
final energy = -23.151 eV per cell

```
4
Lattice="0.000 3.036 3.036 3.036 0.000 3.036 3.036 3.036 0.000" Properties=species:S:1:pos:R:3 pbc="T T T"
Zr 0.000 0.000 0.000
Be 1.518 1.518 1.518
Ni 4.553 4.553 4.553
Ge 3.036 3.036 3.036
```



Pr2Be2GeO7 | PBE | relaxed

Output
crystal system = tetragonal
symmetry = No. 113
final energy = -180.285 eV per cell

```
24
Lattice="7.603 0.000 0.000 0.000 7.603 0.000 0.000 0.000 4.904" Properties=species:S:1:pos:R:3 pbc="T T T"
Pr 1.211 2.590 2.433
Pr 2.590 6.392 2.472
Pr 5.013 1.211 2.472
Pr 6.392 5.013 2.433
Be 1.017 4.818 4.707
Be 2.784 1.017 0.198
Be 4.818 6.586 0.198
Be 6.586 2.784 4.707
Ge 0.000 0.000 0.000
Ge 3.801 3.801 0.000
O 0.000 3.801 4.083
O 0.588 6.282 3.900
O 1.082 4.884 1.380
O 1.321 0.588 1.004
O 2.480 4.389 3.900
O 2.719 1.082 3.525
O 3.213 2.480 1.004
O 3.801 0.000 0.821
O 4.389 5.123 1.004
O 4.884 6.521 3.525
O 5.123 3.213 3.900
O 6.282 7.015 1.004
O 6.521 2.719 1.380
O 7.015 1.321 3.900
```



Sm2Be2GeO7 | PBE | relaxed

Output
crystal system = tetragonal
symmetry = No. 113
final energy = -180.878 eV per cell

```
24
Lattice="7.500 0.000 0.000 0.000 7.500 0.000 0.000 0.000 4.841" Properties=species:S:1:pos:R:3 pbc="T T T"
Sm 1.190 2.560 2.399
Sm 2.560 6.310 2.442
Sm 4.940 1.190 2.442
Sm 6.310 4.940 2.399
Be 1.010 4.760 4.627
Be 2.740 1.010 0.213
Be 4.760 6.490 0.213
Be 6.490 2.740 4.627
Ge 0.000 0.000 0.000
Ge 3.750 3.750 0.000
O 0.000 3.750 3.990
O 0.592 6.203 3.817
O 1.068 4.818 1.366
O 1.297 0.592 1.024
O 2.453 4.342 3.817
O 2.681 1.068 3.475
O 3.158 2.453 1.024
O 3.750 0.000 0.850
O 4.342 5.046 1.024
O 4.818 6.431 3.475
O 5.046 3.158 3.817
O 6.203 6.908 1.024
O 6.431 2.681 1.366
O 6.908 1.297 3.817
```



Be2GeOs | PBE | relaxed

Output
crystal system = cubic
symmetry = No. 216
final energy = -22.159 eV per cell

```
4
Lattice="0.000 2.877 2.877 2.877 0.000 2.877 2.877 2.877 0.000" Properties=species:S:1:pos:R:3 pbc="T T T"
Be 0.000 0.000 0.000
Be 1.438 1.438 1.438
Ge 2.877 2.877 2.877
Os 4.315 4.315 4.315
```



BeGeOs | PBE | relaxed

Output
crystal system = cubic
symmetry = No. 216
final energy = -18.762 eV per cell

```
3
Lattice="0.000 2.711 2.711 2.711 0.000 2.711 2.711 2.711 0.000" Properties=species:S:1:pos:R:3 pbc="T T T"
Be 0.000 0.000 0.000
Ge 4.066 4.066 4.066
Os 1.355 1.355 1.355
```